(1)
The following is a DFT calculation (PBE) of crystalline TbTaB4 at its relaxed geometry.

The structure in POSCAR format:
```
TbTaB4
1.0
-3.2940 -1.2626 0.7349
-1.2584 -0.2311 -6.0376
4.1837 -11.1732 -0.4444
B Ta Tb
16 4 4
direct
0.5000 0.5230 0.8062
0.5000 0.6161 0.9517
0.5000 0.4770 0.1938
0.5000 0.8681 0.0315
0.5000 0.3839 0.0483
0.5000 0.6319 0.5315
0.5000 0.9770 0.3062
0.5000 0.7936 0.1884
0.5000 0.1319 0.9685
0.5000 0.2064 0.8116
0.5000 0.0230 0.6938
0.5000 0.7064 0.6884
0.5000 0.1161 0.5483
0.5000 0.2936 0.3116
0.5000 0.3681 0.4685
0.5000 0.8839 0.4517
0.0000 0.8657 0.5868
0.0000 0.3657 0.9132
0.0000 0.1343 0.4132
0.0000 0.6343 0.0868
0.0000 0.1260 0.1509
0.0000 0.6260 0.3491
0.0000 0.8740 0.8491
0.0000 0.3740 0.6509
```

Calculated density (g cm⁻³): 9.6
Crystal system: orthorhombic
DFT formation energy (eV/atom): -0.6282
Final energy (eV per formula unit): -46.962
Total magnetic moment (μB per cell): 0.0
SG: No. 55

---

(2)
The following is a DFT calculation (PBE) of crystalline TbTaB2 at its relaxed geometry.

The structure in POSCAR format:
```
TbTaB2
1.0
3.4525 0.0000 0.0000
1.7262 2.9899 0.0000
1.7262 0.9966 5.8725
B Ta Tb
2 1 1
direct
0.7345 0.7345 0.7966
0.2655 0.2655 0.2034
0.0000 0.0000 0.0000
0.5000 0.5000 0.5000
```

Calculated density (g cm⁻³): 9.9
Crystal system: trigonal
DFT formation energy (eV/atom): -0.1488
Final energy (eV per formula unit): -30.433
Total magnetic moment (μB per cell): 0.0
SG: No. 166

---

(3)
The following is a DFT calculation (PBE) of crystalline Tb3TaB7 at its relaxed geometry.

The structure in POSCAR format:
```
Tb3TaB7
1.0
3.5230 0.0000 0.0000
-1.7615 8.0765 0.0000
0.0000 0.0000 9.5950
B Tb Ta
14 6 2
direct
0.3647 0.7294 0.3548
0.5434 0.0869 0.2500
0.4799 0.9599 0.4084
0.4799 0.9599 0.0916
0.7264 0.4528 0.5322
0.4566 0.9131 0.7500
0.2736 0.5472 0.0322
0.7264 0.4528 0.9678
0.3647 0.7294 0.1452
0.2736 0.5472 0.4678
0.5201 0.0401 0.9084
0.5201 0.0401 0.5916
0.6353 0.2706 0.8548
0.6353 0.2706 0.6452
0.1075 0.2150 0.4400
0.2450 0.4899 0.7500
0.7550 0.5101 0.2500
0.1075 0.2150 0.0600
0.8925 0.7850 0.5600
0.8925 0.7850 0.9400
0.0539 0.1077 0.7500
0.9461 0.8923 0.2500
```

Calculated density (g cm⁻³): 8.9
Crystal system: orthorhombic
DFT formation energy (eV/atom): -0.5785
Final energy (eV per formula unit): -78.849
Total magnetic moment (μB per cell): 0.0
SG: No. 63

---

(4)
The following is a DFT calculation (PBE) of crystalline TaTcB2 at its relaxed geometry.

The structure in POSCAR format:
```
TaTcB2
1.0
-1.2650 1.3662 3.4999
0.6134 3.7901 0.9875
-3.0510 2.5264 0.1562
Ta B Tc
1 2 1
direct
0.5000 0.5000 0.5000
0.7500 0.7500 0.7500
0.2500 0.2500 0.2500
0.0000 0.0000 0.0000
```

Calculated density (g cm⁻³): 11.3
Crystal system: cubic
DFT formation energy (eV/atom): 0.0616
Final energy (eV per formula unit): -35.327
Total magnetic moment (μB per cell): 0.0
SG: No. 225

---

(5)
The following is a DFT calculation (PBE) of crystalline TaTcB2 at its relaxed geometry.

The structure in POSCAR format:
```
TaTcB2
1.0
-1.1503 2.4944 -1.6191
-3.1477 0.4833 -0.1588
-1.2055 3.8801 3.6946
B Tc Ta
2 1 1
direct
0.7457 0.7457 0.7628
0.2543 0.2543 0.2372
0.0000 0.0000 0.0000
0.5000 0.5000 0.5000
```

Calculated density (g cm⁻³): 11.0
Crystal system: trigonal
DFT formation energy (eV/atom): -0.3235
Final energy (eV per formula unit): -36.867
Total magnetic moment (μB per cell): 0.0
SG: No. 166

---

(6)
The following is a DFT calculation (PBE) of crystalline Ta3TcB at its relaxed geometry.

The structure in POSCAR format:
```
Ta3TcB
1.0
4.7603 0.0000 0.0000
0.0000 4.7603 0.0000
0.0000 0.0000 4.7603
Ta B Tc
3 1 1
direct
0.0000 0.0000 0.5000
0.5000 0.0000 0.0000
0.0000 0.5000 0.0000
0.5000 0.5000 0.5000
0.0000 0.0000 0.0000
```

Calculated density (g cm⁻³): 10.0
Crystal system: cubic
DFT formation energy (eV/atom): 1.9600
Final energy (eV per formula unit): -42.802
Total magnetic moment (μB per cell): 0.0
SG: No. 221